Record 1
Crystalline La3Tb6Er2Mg at its relaxed geometry, computed with PBE-GGA.

Cell lengths 6.210, 6.210, 11.792 Å; angles 95.05, 95.05, 120.03 degrees
Atoms (fractional coordinates):
La (0.000, 0.000, 0.000)
La (0.334, 0.666, 0.000)
La (0.666, 0.334, 0.000)
Tb (0.088, 0.420, 0.258)
Tb (0.248, 0.248, 0.742)
Tb (0.420, 0.088, 0.258)
Tb (0.580, 0.912, 0.742)
Tb (0.752, 0.752, 0.258)
Tb (0.912, 0.580, 0.742)
Er (0.166, 0.834, 0.500)
Er (0.834, 0.166, 0.500)
Mg (0.500, 0.500, 0.500)

Calculated values
Density of states at the Fermi level ... 1.421 states/eV/atom
Magnetic moment ... 0.01 μB per cell



Record 2
Crystalline LaErMgTc at its relaxed geometry, computed with PBE-GGA.

Cell lengths 5.127, 5.127, 5.127 Å; angles 60.00, 60.00, 60.00 degrees
Atoms (fractional coordinates):
La (0.000, 0.000, 0.000)
Er (0.500, 0.500, 0.500)
Mg (0.250, 0.250, 0.250)
Tc (0.750, 0.750, 0.750)

Calculated values
Density of states at the Fermi level ... 0.633 states/eV/atom
Magnetic moment ... 0.00 μB per cell



Record 3
Crystalline LaErThMg at its relaxed geometry, computed with PBE-GGA.

Cell lengths 5.595, 5.595, 5.595 Å; angles 60.00, 60.00, 60.00 degrees
Atoms (fractional coordinates):
La (0.000, 0.000, 0.000)
Er (0.750, 0.750, 0.750)
Th (0.500, 0.500, 0.500)
Mg (0.250, 0.250, 0.250)

Calculated values
Density of states at the Fermi level ... 1.525 states/eV/atom
Magnetic moment ... 0.00 μB per cell



Record 4
Crystalline LaErThMg at its relaxed geometry, computed with PBE-GGA.

Cell lengths 3.615, 3.615, 9.392 Å; angles 90.00, 90.00, 90.00 degrees
Atoms (fractional coordinates):
La (0.000, 0.000, 0.000)
Er (0.000, 0.000, 0.486)
Th (0.500, 0.500, 0.736)
Mg (0.500, 0.500, 0.259)

Calculated values
Density of states at the Fermi level ... 1.040 states/eV/atom
Magnetic moment ... 0.00 μB per cell



Record 5
Crystalline LaErMgTi at its relaxed geometry, computed with PBE-GGA.

Cell lengths 5.329, 5.329, 5.329 Å; angles 60.00, 60.00, 60.00 degrees
Atoms (fractional coordinates):
La (0.000, 0.000, 0.000)
Er (0.500, 0.500, 0.500)
Mg (0.250, 0.250, 0.250)
Ti (0.750, 0.750, 0.750)

Calculated values
Density of states at the Fermi level ... 1.355 states/eV/atom
Magnetic moment ... 1.97 μB per cell



Record 6
Crystalline LaEr2MgTl4 at its relaxed geometry, computed with PBE-GGA.

Cell lengths 9.679, 9.679, 9.679 Å; angles 31.64, 31.64, 31.64 degrees
Atoms (fractional coordinates):
La (0.000, 0.000, 0.000)
Er (0.243, 0.243, 0.243)
Er (0.757, 0.757, 0.757)
Mg (0.500, 0.500, 0.500)
Tl (0.127, 0.127, 0.127)
Tl (0.381, 0.381, 0.381)
Tl (0.619, 0.619, 0.619)
Tl (0.873, 0.873, 0.873)

Calculated values
Density of states at the Fermi level ... 0.669 states/eV/atom
Magnetic moment ... 0.00 μB per cell



Record 7
Crystalline LaErMgTl at its relaxed geometry, computed with PBE-GGA.

Cell lengths 5.469, 5.469, 5.469 Å; angles 60.00, 60.00, 60.00 degrees
Atoms (fractional coordinates):
La (0.000, 0.000, 0.000)
Er (0.500, 0.500, 0.500)
Mg (0.750, 0.750, 0.750)
Tl (0.250, 0.250, 0.250)

Calculated values
Density of states at the Fermi level ... 0.958 states/eV/atom
Magnetic moment ... 0.00 μB per cell



Record 8
Crystalline La2ErTm2Mg5 at its relaxed geometry, computed with PBE-GGA.

Cell lengths 10.606, 10.606, 5.079 Å; angles 90.00, 90.00, 90.00 degrees
Atoms (fractional coordinates):
La (0.176, 0.324, 0.000)
La (0.324, 0.824, 0.000)
La (0.676, 0.176, 0.000)
La (0.824, 0.676, 0.000)
Er (0.000, 0.000, 0.000)
Er (0.500, 0.500, 0.000)
Tm (0.120, 0.620, 0.000)
Tm (0.380, 0.120, 0.000)
Tm (0.620, 0.880, 0.000)
Tm (0.880, 0.380, 0.000)
Mg (0.000, 0.500, 0.500)
Mg (0.070, 0.801, 0.500)
Mg (0.199, 0.070, 0.500)
Mg (0.301, 0.570, 0.500)
Mg (0.430, 0.301, 0.500)
Mg (0.500, 0.000, 0.500)
Mg (0.570, 0.699, 0.500)
Mg (0.699, 0.430, 0.500)
Mg (0.801, 0.930, 0.500)
Mg (0.930, 0.199, 0.500)

Calculated values
Density of states at the Fermi level ... 0.728 states/eV/atom
Magnetic moment ... 0.00 μB per cell



Record 9
Crystalline LaErTmMg at its relaxed geometry, computed with PBE-GGA.

Cell lengths 5.560, 5.560, 5.560 Å; angles 60.00, 60.00, 60.00 degrees
Atoms (fractional coordinates):
La (0.000, 0.000, 0.000)
Er (0.500, 0.500, 0.500)
Tm (0.750, 0.750, 0.750)
Mg (0.250, 0.250, 0.250)

Calculated values
Density of states at the Fermi level ... 1.203 states/eV/atom
Magnetic moment ... 0.00 μB per cell



Record 10
Crystalline LaErTmMg at its relaxed geometry, computed with PBE-GGA.

Cell lengths 3.706, 3.706, 8.811 Å; angles 90.00, 90.00, 90.00 degrees
Atoms (fractional coordinates):
La (0.000, 0.000, 0.000)
Er (0.500, 0.500, 0.716)
Tm (0.500, 0.500, 0.282)
Mg (0.000, 0.000, 0.498)

Calculated values
Density of states at the Fermi level ... 1.495 states/eV/atom
Magnetic moment ... 0.00 μB per cell



Record 11
Crystalline La2Er2TmMg5 at its relaxed geometry, computed with PBE-GGA.

Cell lengths 10.605, 10.605, 5.081 Å; angles 90.00, 90.00, 90.00 degrees
Atoms (fractional coordinates):
La (0.176, 0.324, 0.000)
La (0.324, 0.824, 0.000)
La (0.676, 0.176, 0.000)
La (0.824, 0.676, 0.000)
Er (0.120, 0.620, 0.000)
Er (0.380, 0.120, 0.000)
Er (0.620, 0.880, 0.000)
Er (0.880, 0.380, 0.000)
Tm (0.000, 0.000, 0.000)
Tm (0.500, 0.500, 0.000)
Mg (0.000, 0.500, 0.500)
Mg (0.069, 0.801, 0.500)
Mg (0.199, 0.069, 0.500)
Mg (0.301, 0.569, 0.500)
Mg (0.431, 0.301, 0.500)
Mg (0.500, 0.000, 0.500)
Mg (0.569, 0.699, 0.500)
Mg (0.699, 0.431, 0.500)
Mg (0.801, 0.931, 0.500)
Mg (0.931, 0.199, 0.500)

Calculated values
Density of states at the Fermi level ... 0.717 states/eV/atom
Magnetic moment ... 0.00 μB per cell



Record 12
Crystalline La2YEr2Mg5 at its relaxed geometry, computed with PBE-GGA.

Cell lengths 10.644, 10.644, 5.092 Å; angles 90.00, 90.00, 90.00 degrees
Atoms (fractional coordinates):
La (0.175, 0.325, 0.000)
La (0.325, 0.825, 0.000)
La (0.675, 0.175, 0.000)
La (0.825, 0.675, 0.000)
Y (0.000, 0.000, 0.000)
Y (0.500, 0.500, 0.000)
Er (0.120, 0.620, 0.000)
Er (0.380, 0.120, 0.000)
Er (0.620, 0.880, 0.000)
Er (0.880, 0.380, 0.000)
Mg (0.000, 0.500, 0.500)
Mg (0.070, 0.801, 0.500)
Mg (0.199, 0.070, 0.500)
Mg (0.301, 0.570, 0.500)
Mg (0.430, 0.301, 0.500)
Mg (0.500, 0.000, 0.500)
Mg (0.570, 0.699, 0.500)
Mg (0.699, 0.430, 0.500)
Mg (0.801, 0.930, 0.500)
Mg (0.930, 0.199, 0.500)

Calculated values
Density of states at the Fermi level ... 0.733 states/eV/atom
Magnetic moment ... 0.00 μB per cell



Calculated formation enthalpy at 0 K in order - 37, 48, 84, -48, 142, -284, -245, 13, 27, -9, 15, 0 meV per atom
Calculated volume in order - 32.30, 23.83, 30.96, 30.69, 26.75, 27.70, 28.91, 28.57, 30.39, 30.25, 28.57, 28.84 Å³ per atom